Record 1
VASP calculation (PBE) on CaTe2Se after structural relaxation.

a = 12.517 Å, b = 4.265 Å, c = 4.410 Å
α = 90.00°, β = 93.54°, γ = 90.00°
Element x y z (fractional)
Ca  0.000  0.000  0.000
Ca  0.500  0.500  0.000
Te  0.230  0.500  0.240
Te  0.270  0.000  0.760
Te  0.730  0.000  0.240
Te  0.770  0.500  0.760
Se  0.000  0.500  0.500
Se  0.500  0.000  0.500

## Properties
D(E_F): 1.73 states/eV/f.u.
formation energy without anion corrections: -0.74 eV/atom
crystal system: monoclinic
electronic total energy: -3.685 eV per atom

Record 2
VASP calculation (PBE) on HfH2Pd2 after structural relaxation.

a = 5.749 Å, b = 5.749 Å, c = 3.684 Å
α = 90.00°, β = 90.00°, γ = 90.00°
Element x y z (fractional)
Hf  0.000  0.000  0.000
Hf  0.500  0.500  0.000
H  0.161  0.339  0.000
H  0.339  0.839  0.000
H  0.661  0.161  0.000
H  0.839  0.661  0.000
Pd  0.165  0.335  0.500
Pd  0.335  0.835  0.500
Pd  0.665  0.165  0.500
Pd  0.835  0.665  0.500

## Properties
D(E_F): 1.58 states/eV/f.u.
crystal system: tetragonal
electronic total energy: -5.777 eV per atom